Entry 1:
{
  "formula": "NaSc3Ru",
  "functional": "GGA-PBE",
  "state": "relaxed",
  "lattice_angstrom": [[-0.0846, -4.6008, 1.6688], [2.8942, 1.2989, 3.7278], [-3.9467, 1.0512, 2.6979]],
  "species": ["Na", "Sc", "Ru", "Sc", "Sc"],
  "fractional_positions": [[0.0000, 0.0000, 0.0000], [0.0000, 0.0000, 0.5000], [0.5000, 0.5000, 0.5000], [0.5000, 0.0000, 0.0000], [0.0000, 0.5000, 0.0000]]
}



Entry 2:
{
  "formula": "NaSc5Ru4",
  "functional": "GGA-PBE",
  "state": "relaxed",
  "lattice_angstrom": [[3.2233, 0.0000, 0.0000], [0.0000, 3.2233, 0.0000], [0.0000, 0.0000, 18.4141]],
  "species": ["Sc", "Sc", "Ru", "Ru", "Ru", "Ru", "Na", "Sc", "Sc", "Sc"],
  "fractional_positions": [[0.5000, 0.5000, 0.6724], [0.5000, 0.5000, 0.8433], [0.0000, 0.0000, 0.7665], [0.0000, 0.0000, 0.5877], [0.0000, 0.0000, 0.2335], [0.0000, 0.0000, 0.4123], [0.0000, 0.0000, 0.0000], [0.5000, 0.5000, 0.1567], [0.5000, 0.5000, 0.3276], [0.5000, 0.5000, 0.5000]]
}



no.,Fermi-level density of states (states/eV/cell),electronic total energy (eV per atom),ΔE_f (eV/atom)
1,8.92,-4.485,1.433
2,7.46,-7.472,-0.464